1.
SrLuTlSn PBE relaxed; energy relative to the elements = -0.377 eV per atom; density = 8.24 g/cm3; total moment = 0.000 μB per formula unit; electronic total energy = -3.52 eV per atom
1.0
5.5054 0.0000 0.0000
2.7527 4.7678 0.0000
2.7527 1.5893 4.4952
Sr Tl Lu Sn
1 1 1 1
direct
0.5000 0.5000 0.5000
0.7500 0.7500 0.7500
0.0000 0.0000 0.0000
0.2500 0.2500 0.2500

2.
CoPRh2 PBE relaxed; energy relative to the elements = -0.032 eV per atom; density = 9.61 g/cm3; total moment = 1.758 μB per formula unit; electronic total energy = -6.84 eV per atom
1.0
-1.5826 3.0681 2.9134
1.2592 -1.2004 4.1689
2.3833 0.4664 -3.8090
Co P Rh
1 1 2
direct
0.5000 0.5000 0.0000
0.7500 0.2500 0.5000
0.0000 0.0000 0.0000
0.2500 0.7500 0.5000

3.
B2C PBE relaxed; energy relative to the elements = 0.438 eV per atom; density = 2.56 g/cm3; total moment = 0.000 μB per formula unit; electronic total energy = -7.09 eV per atom
1.0
1.3229 4.6032 -0.0407
-1.3229 4.6032 -0.0407
0.0000 3.2849 7.1472
B C
8 4
direct
0.3257 0.3257 0.3597
0.5112 0.5112 0.3522
0.8361 0.8361 0.1590
0.0224 0.0224 0.9825
0.1782 0.1782 0.0534
0.4246 0.4246 0.9473
0.7126 0.7126 0.6147
0.0002 0.0002 0.5273
0.6624 0.6624 0.1738
0.3246 0.3246 0.8223
0.8317 0.8317 0.7179
0.1703 0.1703 0.5400

4.
PmHoTh2Sb4 PBE relaxed; density = 8.29 g/cm3; total moment = 0.000 μB per formula unit; electronic total energy = -6.11 eV per atom
1.0
4.4800 0.0000 0.0000
0.0000 7.7119 -0.1318
0.0000 2.7341 7.2606
Pm Ho Th Sb
1 1 2 4
direct
0.5000 0.5000 0.0000
0.0000 0.5000 0.5000
0.0000 0.0000 0.0000
0.5000 0.0000 0.5000
0.0000 0.7456 0.7480
0.0000 0.2544 0.2520
0.5000 0.7429 0.2558
0.5000 0.2571 0.7442